1.
FeSOF2 after structural relaxation. Source: the Alexandria database, functional GGA+U.

Values from the calculation:
Fermi-level density of states	2.04	states/eV/f.u.
energy above the lowest structure with this stoichiometry	0	meV per atom
symmetry	P4/mmm
raw total energy	-4.06	eV/atom

abc: 4.669 4.669 3.405
angles: 90.00 90.00 90.00
Fractional positions:
Fe1 0.000 0.000 0.000
S1 0.500 0.500 0.500
O1 0.500 0.500 0.000
F1 0.000 0.500 0.500
F2 0.500 0.000 0.500

2.
FeSOF2 after structural relaxation. Source: the Alexandria database, functional GGA+U.

Values from the calculation:
Fermi-level density of states	2.73	states/eV/f.u.
energy above the lowest structure with this stoichiometry	119	meV per atom
symmetry	P4/mmm
raw total energy	-3.94	eV/atom

abc: 3.986 3.986 3.728
angles: 90.00 90.00 90.00
Fractional positions:
Fe1 0.000 0.000 0.000
S1 0.500 0.500 0.500
O1 0.000 0.000 0.500
F1 0.000 0.500 0.000
F2 0.500 0.000 0.000

3.
FeSbOF2 after structural relaxation. Source: the Alexandria database, functional GGA+U.

Values from the calculation:
Fermi-level density of states	0.51	states/eV/f.u.
energy above the lowest structure with this stoichiometry	320	meV per atom
symmetry	P4/mmm
raw total energy	-4.67	eV/atom

abc: 4.554 4.554 4.277
angles: 90.00 90.00 90.00
Fractional positions:
Fe1 0.000 0.000 0.000
Sb1 0.500 0.500 0.500
O1 0.500 0.500 0.000
F1 0.000 0.500 0.500
F2 0.500 0.000 0.500

4.
Fe2SbOF after structural relaxation. Source: the Alexandria database, functional GGA+U.

Values from the calculation:
Fermi-level density of states	1.55	states/eV/f.u.
symmetry	P4/mmm
raw total energy	-4.94	eV/atom

abc: 3.956 3.956 5.245
angles: 90.00 90.00 90.00
Fractional positions:
Fe1 0.000 0.500 0.000
Fe2 0.500 0.000 0.000
Sb1 0.000 0.000 0.500
O1 0.500 0.500 0.000
F1 0.500 0.500 0.500

5.
FeSbOF2 after structural relaxation. Source: the Alexandria database, functional GGA+U.

Values from the calculation:
Fermi-level density of states	2.08	states/eV/f.u.
energy above the lowest structure with this stoichiometry	0	meV per atom
symmetry	P4/mmm
raw total energy	-4.99	eV/atom

abc: 4.106 4.106 4.100
angles: 90.00 90.00 90.00
Fractional positions:
Fe1 0.000 0.000 0.000
Sb1 0.500 0.500 0.500
O1 0.000 0.000 0.500
F1 0.000 0.500 0.000
F2 0.500 0.000 0.000

6.
ScFeO2F after structural relaxation. Source: the Alexandria database, functional GGA+U.

Values from the calculation:
Fermi-level density of states	3.67	states/eV/f.u.
symmetry	P4/mmm
raw total energy	-6.56	eV/atom

abc: 3.928 3.928 3.834
angles: 90.00 90.00 90.00
Fractional positions:
Sc1 0.000 0.000 0.000
Fe1 0.500 0.500 0.500
O1 0.000 0.500 0.500
O2 0.500 0.000 0.500
F1 0.500 0.500 0.000